No. 1
{
  "formula": "Tl2Hg4BiAu2",
  "functional": "PBE",
  "state": "optimized geometry",
  "rho_g_cm3": 12.29,
  "total_magnetization_mub_per_fu": 0.00,
  "energy_ev_per_atom": -1.80,
  "formation_enthalpy_0k_ev_per_atom": 0.0153,
  "spacegroup": "P-1",
  "lattice": [[-1.049, -4.907, 4.013], [5.486, 0.950, 2.722], [-3.600, 5.980, 1.332]],
  "species": ["Hg", "Hg", "Hg", "Hg", "Au", "Au", "Tl", "Tl", "Bi"],
  "frac_coords": [[0.901, 0.773, 0.506], [0.099, 0.227, 0.494], [0.530, 0.759, 0.920], [0.470, 0.241, 0.080], [0.880, 0.467, 0.121], [0.120, 0.533, 0.879], [0.358, 0.729, 0.394], [0.642, 0.271, 0.606], [0.000, 0.000, 0.000]]
}

No. 2
{
  "formula": "TlHgBi2Au",
  "functional": "PBE",
  "state": "optimized geometry",
  "rho_g_cm3": 10.73,
  "total_magnetization_mub_per_fu": 0.00,
  "energy_ev_per_atom": -2.64,
  "formation_enthalpy_0k_ev_per_atom": 0.1008,
  "spacegroup": "P4mm",
  "lattice": [[-1.551, -2.882, 3.351], [3.182, -3.193, -1.272], [4.714, 2.850, 4.632]],
  "species": ["Hg", "Bi", "Bi", "Au", "Tl"],
  "frac_coords": [[0.500, 0.500, 0.382], [0.000, 0.500, 0.929], [0.500, 0.000, 0.929], [0.000, 0.000, 0.185], [0.000, 0.000, 0.575]]
}

No. 3
{
  "formula": "TlHgBiAu",
  "functional": "PBE",
  "state": "optimized geometry",
  "rho_g_cm3": 11.69,
  "de_polymorph_mev_per_atom": 0,
  "total_magnetization_mub_per_fu": 0.00,
  "energy_ev_per_atom": -2.44,
  "formation_enthalpy_0k_ev_per_atom": 0.0168,
  "spacegroup": "P3m1",
  "lattice": [[-3.289, 1.961, 2.880], [1.263, -4.587, 0.580], [4.178, 1.614, 3.672]],
  "species": ["Bi", "Tl", "Hg", "Au"],
  "frac_coords": [[0.905, 0.810, 0.886], [0.572, 0.144, 0.463], [0.239, 0.478, 0.194], [0.238, 0.477, 0.696]]
}

No. 4
{
  "formula": "Tl2Hg6BiAu",
  "functional": "PBE",
  "state": "optimized geometry",
  "rho_g_cm3": 11.96,
  "total_magnetization_mub_per_fu": 0.00,
  "energy_ev_per_atom": -1.34,
  "formation_enthalpy_0k_ev_per_atom": 0.0307,
  "spacegroup": "P-1",
  "lattice": [[6.107, -0.033, -1.350], [0.321, 9.621, 0.254], [2.391, 4.893, 4.405]],
  "species": ["Tl", "Tl", "Hg", "Hg", "Hg", "Hg", "Hg", "Hg", "Au", "Bi"],
  "frac_coords": [[0.946, 0.375, 0.390], [0.054, 0.625, 0.610], [0.371, 0.888, 0.828], [0.414, 0.296, 0.631], [0.126, 0.170, 0.185], [0.629, 0.112, 0.172], [0.874, 0.830, 0.815], [0.586, 0.704, 0.369], [0.000, 0.000, 0.000], [0.500, 0.500, 0.000]]
}

No. 5
{
  "formula": "Tl2HgBi2Au2",
  "functional": "PBE",
  "state": "optimized geometry",
  "rho_g_cm3": 10.38,
  "total_magnetization_mub_per_fu": 0.00,
  "energy_ev_per_atom": -2.57,
  "formation_enthalpy_0k_ev_per_atom": 0.1971,
  "spacegroup": "I4/mmm",
  "lattice": [[-2.468, -3.930, 2.594], [4.531, -1.183, 2.518], [-2.975, 7.668, 3.340]],
  "species": ["Bi", "Bi", "Tl", "Tl", "Au", "Au", "Hg"],
  "frac_coords": [[0.398, 0.398, 0.797], [0.602, 0.602, 0.203], [0.192, 0.192, 0.384], [0.808, 0.808, 0.616], [0.500, 0.000, 0.000], [0.000, 0.500, 0.000], [0.000, 0.000, 0.000]]
}

No. 6
{
  "formula": "TlHgBiAu",
  "functional": "PBE",
  "state": "optimized geometry",
  "rho_g_cm3": 12.88,
  "de_polymorph_mev_per_atom": 66,
  "total_magnetization_mub_per_fu": 0.00,
  "energy_ev_per_atom": -2.37,
  "formation_enthalpy_0k_ev_per_atom": 0.0829,
  "spacegroup": "F-43m",
  "lattice": [[-5.223, -0.438, -0.692], [-2.859, -3.005, 3.279], [-3.321, 2.260, 3.438]],
  "species": ["Hg", "Bi", "Au", "Tl"],
  "frac_coords": [[0.500, 0.500, 0.500], [0.750, 0.750, 0.750], [0.000, 0.000, 0.000], [0.250, 0.250, 0.250]]
}